HoPuCl5 | PBE | optimized geometry

Properties
DFT total energy ... -167.94 eV for the cell shown
Formation energy from raw total energies ... -1977 meV/atom
Volume ... 34.1 A^3/atom

a = 11.145 Å, b = 9.043 Å, c = 10.772 Å
α = 90.00°, β = 118.40°, γ = 90.00°
Space group C2/c (No. 15)
Unique sites:
Ho  0.000  0.000  0.000 [4 per cell]
Pu  0.000  0.354  0.250 [4 per cell]
Cl  0.000  0.031  0.250 [4 per cell]
Cl  0.016  0.289  0.512 [8 per cell]
Cl  0.233  0.477  0.869 [8 per cell]

=====

HoPuCl6 | PBE | optimized geometry

Properties
Distance to the lowest polymorph of the same formula ... 7.4 meV/atom
DFT total energy ... -139.31 eV for the cell shown
Formation energy from raw total energies ... -2056 meV/atom
Volume ... 31.0 A^3/atom

a = 6.7500 Å, b = 6.7500 Å, c = 18.8433 Å
α = 90.00°, β = 90.00°, γ = 120.00°
Space group R-3 (No. 148, hexagonal axes)
Unique sites:
Ho  0.0000  0.0000  0.0000 [3 per cell]
Pu  0.0000  0.0000  0.5000 [3 per cell]
Cl  0.0043  0.3559  0.7475 [18 per cell]

=====

Ho2PuCl | PBE | optimized geometry

Properties
DFT total energy ... -83.05 eV for the cell shown
Formation energy from raw total energies ... -587 meV/atom
Volume ... 26.4 A^3/atom

a = 3.5276 Å, b = 3.5276 Å, c = 29.3725 Å
α = 90.00°, β = 90.00°, γ = 120.00°
Space group R-3m (No. 166, hexagonal axes)
Unique sites:
Ho  0.0000  0.0000  0.2414 [6 per cell]
Pu  0.0000  0.0000  0.0000 [3 per cell]
Cl  0.0000  0.0000  0.5000 [3 per cell]

=====

HoPuCl6 | PBE | optimized geometry

Properties
Distance to the lowest polymorph of the same formula ... 0.0 meV/atom
DFT total energy ... -93.00 eV for the cell shown
Formation energy from raw total energies ... -2064 meV/atom
Volume ... 33.6 A^3/atom

a = 6.768 Å, b = 12.343 Å, c = 6.693 Å
α = 90.00°, β = 105.68°, γ = 90.00°
Space group C2/m (No. 12)
Unique sites:
Ho  0.000  0.000  0.000 [2 per cell]
Pu  0.000  0.500  0.500 [2 per cell]
Cl  0.240  0.143  0.245 [8 per cell]
Cl  0.247  0.000  0.756 [4 per cell]